No. 1
The following is a PBE calculation of a relaxed structure of La3Sb5Se12, from Alexandria.

Properties
* density of states at the Fermi level: 0.00 states/eV/atom
* space-group type: No. 230
* magnetic moment: 0.00 μB/cell
* DFT total energy: -373.5 eV per cell

a b c (Å): 14.885 14.885 14.885
angles (deg): 109.47 109.47 109.47
Positions (direct):
Se  0.170  0.084  0.718
Se  0.586  0.952  0.670
Se  0.718  0.135  0.048
Se  0.916  0.086  0.635
La  0.875  0.750  0.125
Se  0.218  0.670  0.084
Sb  0.500  0.500  0.000
Se  0.865  0.584  0.914
Se  0.914  0.084  0.865
Se  0.548  0.330  0.914
La  0.750  0.375  0.125
Se  0.365  0.952  0.782
Se  0.135  0.416  0.086
Se  0.086  0.916  0.135
Se  0.414  0.365  0.584
Se  0.635  0.048  0.218
Sb  0.500  0.500  0.500
Sb  0.125  0.375  0.250
La  0.125  0.875  0.750
Se  0.670  0.218  0.584
Sb  0.625  0.750  0.875
Sb  0.375  0.125  0.750
Se  0.416  0.282  0.330
Sb  0.000  0.500  0.000
Sb  0.000  0.000  0.000
La  0.625  0.375  0.750
Se  0.416  0.135  0.586
Se  0.865  0.282  0.452
Sb  0.625  0.875  0.250
La  0.750  0.875  0.625
Se  0.670  0.452  0.586
Sb  0.000  0.000  0.500
Se  0.452  0.782  0.865
Sb  0.875  0.625  0.750
La  0.875  0.125  0.250
Se  0.048  0.635  0.718
Se  0.282  0.416  0.830
Se  0.952  0.365  0.282
Se  0.084  0.170  0.218
Sb  0.375  0.250  0.125
Sb  0.875  0.250  0.625
La  0.250  0.625  0.875
La  0.250  0.125  0.375
Se  0.782  0.330  0.916
Se  0.218  0.548  0.635
La  0.375  0.750  0.625
Sb  0.250  0.875  0.125
Se  0.048  0.414  0.830
Sb  0.500  0.000  0.500
Sb  0.250  0.375  0.625
Se  0.282  0.865  0.952
Se  0.635  0.586  0.916
La  0.625  0.250  0.375
Se  0.365  0.414  0.084
Se  0.135  0.718  0.548
Se  0.830  0.914  0.048
Se  0.718  0.584  0.170
Sb  0.000  0.500  0.500
Sb  0.750  0.125  0.875
Se  0.586  0.635  0.416
Sb  0.125  0.750  0.375
Se  0.086  0.170  0.452
Se  0.584  0.718  0.670
La  0.125  0.250  0.875
Se  0.330  0.548  0.414
Se  0.452  0.670  0.086
Se  0.952  0.586  0.170
Se  0.414  0.048  0.330
Se  0.916  0.830  0.782
Se  0.830  0.916  0.282
Se  0.170  0.086  0.952
Sb  0.750  0.625  0.375
Se  0.084  0.914  0.365
Se  0.914  0.830  0.548
Se  0.548  0.218  0.135
Se  0.584  0.865  0.414
Se  0.330  0.782  0.416
La  0.375  0.625  0.250
Sb  0.500  0.000  0.000
Se  0.782  0.452  0.365



No. 2
The following is a PBE calculation of a relaxed structure of Li2YCu, from Alexandria.

Properties
* ΔE to the lowest computed polymorph: 34.0 meV/atom
* density of states at the Fermi level: 0.67 states/eV/atom
* energy of formation: 1.2 kJ/mol of atoms
* space-group type: No. 12
* magnetic moment: 0.00 μB/cell
* DFT total energy: -14.3 eV per cell

a b c (Å): 5.758 5.758 4.800
angles (deg): 68.30 68.30 33.36
Positions (direct):
Li  0.462  0.462  0.544
Y  0.250  0.250  0.250
Li  0.038  0.038  0.956
Cu  0.750  0.750  0.750



No. 3
The following is a PBE calculation of a relaxed structure of Cd2AgHg5, from Alexandria.

Properties
* density of states at the Fermi level: 0.24 states/eV/atom
* energy of formation: 3.3 kJ/mol of atoms
* space-group type: No. 11
* magnetic moment: 0.00 μB/cell
* DFT total energy: -11.8 eV per cell

a b c (Å): 5.193 5.804 14.179
angles (deg): 90.00 90.00 114.52
Positions (direct):
Hg  0.985  0.907  0.893
Cd  0.826  0.530  0.356
Hg  0.455  0.011  0.250
Hg  0.985  0.907  0.607
Hg  0.399  0.720  0.040
Ag  0.686  0.521  0.750
Cd  0.174  0.470  0.644
Hg  0.015  0.093  0.393
Ag  0.314  0.479  0.250
Hg  0.399  0.720  0.460
Hg  0.015  0.093  0.107
Hg  0.601  0.280  0.960
Hg  0.545  0.989  0.750
Hg  0.601  0.280  0.540
Cd  0.174  0.470  0.856
Cd  0.826  0.530  0.144



No. 4
The following is a PBE calculation of a relaxed structure of KTe2CI, from Alexandria.

Properties
* ΔE to the lowest computed polymorph: 0.0 meV/atom
* density of states at the Fermi level: 0.64 states/eV/atom
* space-group type: No. 123
* magnetic moment: 0.49 μB/cell
* DFT total energy: -15.8 eV per cell

a b c (Å): 4.696 4.696 9.190
angles (deg): 90.00 90.00 90.00
Positions (direct):
C  0.000  0.000  0.000
Te  0.500  0.000  0.000
I  0.000  0.000  0.500
Te  0.000  0.500  0.000
K  0.500  0.500  0.500



No. 5
The following is a PBE calculation of a relaxed structure of ThBiPd2, from Alexandria.

Properties
* density of states at the Fermi level: 0.26 states/eV/atom
* energy of formation: -56.1 kJ/mol of atoms
* space-group type: No. 123
* magnetic moment: 0.00 μB/cell
* DFT total energy: -24.0 eV per cell

a b c (Å): 3.799 3.799 6.580
angles (deg): 90.00 90.00 90.00
Positions (direct):
Pd  0.000  0.000  0.720
Th  0.500  0.500  0.500
Bi  0.500  0.500  0.000
Pd  0.000  0.000  0.280



No. 6
The following is a PBE calculation of a relaxed structure of Ac2AsBr2, from Alexandria.

Properties
* density of states at the Fermi level: 0.45 states/eV/atom
* space-group type: No. 166
* magnetic moment: 0.00 μB/cell
* DFT total energy: -24.9 eV per cell

a b c (Å): 4.513 4.513 11.359
angles (deg): 78.54 78.54 60.00
Positions (direct):
Ac  0.614  0.614  0.157
Ac  0.386  0.386  0.843
Br  0.776  0.776  0.672
As  0.000  0.000  0.000
Br  0.224  0.224  0.328



No. 7
The following is a PBE calculation of a relaxed structure of CaSi2Sb, from Alexandria.

Properties
* density of states at the Fermi level: 0.48 states/eV/atom
* space-group type: No. 8
* magnetic moment: 0.00 μB/cell
* DFT total energy: -17.3 eV per cell

a b c (Å): 5.434 5.434 5.143
angles (deg): 71.25 71.25 39.60
Positions (direct):
Si  0.711  0.711  0.816
Sb  0.269  0.269  0.168
Si  0.032  0.032  0.995
Ca  0.488  0.488  0.521



No. 8
The following is a PBE calculation of a relaxed structure of CsNaCdAu, from Alexandria.

Properties
* ΔE to the lowest computed polymorph: 0.0 meV/atom
* density of states at the Fermi level: 0.54 states/eV/atom
* energy of formation: -19.8 kJ/mol of atoms
* space-group type: No. 8
* magnetic moment: 0.00 μB/cell
* DFT total energy: -7.2 eV per cell

a b c (Å): 5.071 5.045 7.309
angles (deg): 110.35 90.00 120.17
Positions (direct):
Cs  0.626  0.251  0.524
Cd  0.097  0.194  0.931
Na  0.815  0.630  0.085
Au  0.429  0.858  0.928